DFT (PBEsol) results for Tl2AuCl after structural relaxation.

Crystal system   tetragonal
Energy above the lowest structure with this stoichiometry   137 meV per atom
Energy relative to the elements, uncorrected   -0.25 eV per atom
E_tot   -3.0456 eV/atom

Unit cell a=4.1972 b=4.1972 c=11.4073 alpha=90.00 beta=90.00 gamma=90.00
Space group I-4m2 (No. 119)
Asymmetric unit:
Tl (0.0000, 0.0000, 0.0000) (multiplicity 2)
Tl (0.0000, 0.5000, 0.2500) (multiplicity 2)
Au (0.0000, 0.0000, 0.5000) (multiplicity 2)
Cl (0.0000, 0.5000, 0.7500) (multiplicity 2)

DFT (PBEsol) results for Y2TiCo after structural relaxation.

Crystal system   cubic
ΔH_f (0 K)   0.277 eV/atom
E_tot   -7.1491 eV/atom

Unit cell a=6.8627 b=6.8627 c=6.8627 alpha=90.00 beta=90.00 gamma=90.00
Space group Fm-3m (No. 225)
Asymmetric unit:
Y (0.2500, 0.2500, 0.2500) (multiplicity 8)
Ti (0.0000, 0.0000, 0.0000) (multiplicity 4)
Co (0.0000, 0.0000, 0.5000) (multiplicity 4)

DFT (PBEsol) results for PbSe2O after structural relaxation.

Crystal system   cubic
Energy above the lowest structure with this stoichiometry   130 meV per atom
Energy relative to the elements, uncorrected   0.51 eV per atom
E_tot   -3.7305 eV/atom

Unit cell a=6.7006 b=6.7006 c=6.7006 alpha=90.00 beta=90.00 gamma=90.00
Space group Fm-3m (No. 225)
Asymmetric unit:
Pb (0.0000, 0.0000, 0.0000) (multiplicity 4)
Se (0.2500, 0.2500, 0.2500) (multiplicity 8)
O (0.0000, 0.0000, 0.5000) (multiplicity 4)